# 1
This record from Alexandria describes crystalline LuZrCdIn at its relaxed geometry. The functional is PBE.

```
LuZrCdIn
1.0
0.000 3.594 3.594
3.594 0.000 3.594
3.594 3.594 0.000
Lu Zr Cd In
1 1 1 1
direct
0.000 0.000 0.000
0.500 0.500 0.500
0.250 0.250 0.250
0.750 0.750 0.750
```

Values from the calculation:
Mass density = 8.82 g cm⁻³
DOS(E_F) = 0.5159 states/eV/atom
Calculated volume = 23.22 Å³ per atom
VASP energy = -17.62 eV/cell
Energy relative to the elements = -0.225 eV per atom

***

# 2
This record from Alexandria describes crystalline Mg4CdIn3 at its relaxed geometry. The functional is PBE.

```
Mg4CdIn3
1.0
3.225 0.000 0.000
0.000 3.225 0.000
0.000 0.000 17.637
Mg Cd In
4 1 3
direct
0.000 0.000 0.120
0.000 0.000 0.373
0.000 0.000 0.627
0.000 0.000 0.880
0.500 0.500 0.000
0.500 0.500 0.246
0.500 0.500 0.500
0.500 0.500 0.754
```

Values from the calculation:
Mass density = 5.01 g cm⁻³
DOS(E_F) = 0.3604 states/eV/atom
Calculated volume = 22.94 Å³ per atom
VASP energy = -16.27 eV/cell
Energy relative to the elements = -0.095 eV per atom

***

# 3
This record from Alexandria describes crystalline Mg2Cd15In2 at its relaxed geometry. The functional is PBE.

```
Mg2Cd15In2
1.0
4.804 2.773 5.909
-4.804 2.773 5.909
0.000 -5.547 5.909
Mg Cd In
2 15 2
direct
0.177 0.177 0.177
0.823 0.823 0.823
0.000 0.500 0.500
0.113 0.113 0.658
0.113 0.658 0.113
0.191 0.500 0.809
0.191 0.809 0.500
0.342 0.887 0.887
0.500 0.000 0.500
0.500 0.191 0.809
0.500 0.500 0.000
0.500 0.809 0.191
0.658 0.113 0.113
0.809 0.191 0.500
0.809 0.500 0.191
0.887 0.342 0.887
0.887 0.887 0.342
0.403 0.403 0.403
0.597 0.597 0.597
```

Values from the calculation:
Mass density = 6.91 g cm⁻³
DOS(E_F) = 0.2748 states/eV/atom
Calculated volume = 24.86 Å³ per atom
VASP energy = -21.04 eV/cell
Energy relative to the elements = 0.071 eV per atom